Below is a relaxed structure of AcCuH6Ir, with properties calculated at the PBE level.

Cell and atoms, written as extended XYZ:
```
9
Lattice="4.776 0.000 0.000 -2.388 4.136 0.000 0.000 0.000 4.561" Properties=species:S:1:pos:R:3 pbc="T T T"
Ac 0.000 0.000 0.000
Cu 0.000 2.757 2.281
H 2.388 0.051 1.170
H 2.388 0.051 3.391
H 1.238 2.043 1.170
H 1.238 2.043 3.391
H 3.538 2.043 1.170
H 3.538 2.043 3.391
Ir 2.388 1.379 2.281
```

Calculated values
Fermi-level density of states, states/eV per cell: 1.1
E, eV per atom: -4.479
Mass density, g cm⁻³: 9.0



Below is a relaxed structure of Zr3Sc2Ni4, with properties calculated at the PBE level.

Cell and atoms, written as extended XYZ:
```
18
Lattice="7.837 0.000 0.000 0.000 6.614 0.000 -2.179 0.000 6.191" Properties=species:S:1:pos:R:3 pbc="T T T"
Zr 0.000 0.000 0.000
Zr -1.090 3.307 3.096
Zr 0.411 1.148 4.799
Zr 1.501 2.159 1.703
Zr 4.157 4.455 4.488
Zr 5.246 5.466 1.392
Sc 0.402 4.513 5.782
Sc 1.491 5.408 2.686
Sc 4.166 1.206 3.505
Sc 5.256 2.101 0.409
Ni -0.250 4.146 0.786
Ni -1.340 5.774 3.881
Ni 3.051 0.210 0.983
Ni 1.961 3.097 4.078
Ni 3.696 3.516 2.113
Ni 2.607 6.404 5.209
Ni 6.998 0.840 2.310
Ni 5.908 2.467 5.405
```

Calculated values
Fermi-level density of states, states/eV per cell: 19.0
E, eV per atom: -7.186
DFT formation energy, meV per atom: -360
Mass density, g cm⁻³: 6.2



Among the records above, which one has the highest mass density? AcCuH6Ir